(1)
# SmTmTlPb, optimized geometry, DFT PBE
# - relative energy among the computed polymorphs (eV per atom) = 0.000
# - calculated formation energy (eV/atom) = -0.39
data_SmTmTlPb
_chemical_formula_sum 'Sm2 Tm2 Tl2 Pb2'
_symmetry_space_group_name_H-M 'I -4 m 2'
_symmetry_Int_Tables_number 119
_symmetry_space_group_name_Hall 'I -4 -2'
_cell_length_a 5.0191
_cell_length_b 5.0191
_cell_length_c 8.8792
_cell_angle_alpha 90.00
_cell_angle_beta 90.00
_cell_angle_gamma 90.00
loop_
_atom_site_label
_atom_site_type_symbol
_atom_site_fract_x
_atom_site_fract_y
_atom_site_fract_z
Sm1 Sm 0.0000 0.0000 0.0000
Tm1 Tm 0.0000 0.0000 0.5000
Tl1 Tl 0.0000 0.5000 0.7500
Pb1 Pb 0.0000 0.5000 0.2500

(2)
# SmTmTlPb, optimized geometry, DFT PBE
# - relative energy among the computed polymorphs (eV per atom) = 0.038
# - calculated formation energy (eV/atom) = -0.35
data_SmTmTlPb
_chemical_formula_sum 'Sm4 Tm4 Tl4 Pb4'
_symmetry_space_group_name_H-M 'F -4 3 m'
_symmetry_Int_Tables_number 216
_symmetry_space_group_name_Hall 'F -4 2 3'
_cell_length_a 7.6771
_cell_length_b 7.6771
_cell_length_c 7.6771
_cell_angle_alpha 90.00
_cell_angle_beta 90.00
_cell_angle_gamma 90.00
loop_
_atom_site_label
_atom_site_type_symbol
_atom_site_fract_x
_atom_site_fract_y
_atom_site_fract_z
Sm1 Sm 0.0000 0.0000 0.0000
Tm1 Tm 0.0000 0.0000 0.5000
Tl1 Tl 0.2500 0.2500 0.2500
Pb1 Pb 0.2500 0.2500 0.7500

(3)
# SmZrTlPb, optimized geometry, DFT PBE
# - calculated formation energy (eV/atom) = -0.13
data_SmZrTlPb
_chemical_formula_sum 'Sm4 Zr4 Tl4 Pb4'
_symmetry_space_group_name_H-M 'F -4 3 m'
_symmetry_Int_Tables_number 216
_symmetry_space_group_name_Hall 'F -4 2 3'
_cell_length_a 7.5077
_cell_length_b 7.5077
_cell_length_c 7.5077
_cell_angle_alpha 90.00
_cell_angle_beta 90.00
_cell_angle_gamma 90.00
loop_
_atom_site_label
_atom_site_type_symbol
_atom_site_fract_x
_atom_site_fract_y
_atom_site_fract_z
Sm1 Sm 0.0000 0.0000 0.0000
Zr1 Zr 0.0000 0.0000 0.5000
Tl1 Tl 0.2500 0.2500 0.2500
Pb1 Pb 0.2500 0.2500 0.7500